A plane-wave DFT calculation with PBE-GGA was carried out for a geometry-optimized Ca2FeCl structure.

The structure in extended XYZ format:
```
4
Lattice="3.420 0.000 0.000 0.000 3.420 0.000 0.000 0.000 7.986" Properties=species:S:1:pos:R:3 pbc="T T T"
Ca 0.000 0.000 1.853
Ca 0.000 0.000 6.132
Fe 1.710 1.710 0.000
Cl 1.710 1.710 3.993
```

Space-group type ... P4/mmm
DFT total energy ... -4.0252 eV per atom
Total magnetization ... 1.9 Bohr magnetons per cell
E_form (uncorrected) ... -0.447 eV per atom
Polymorph energy (0 for the lowest one) ... 33 meV per atom
Calculated density ... 3.0 g/cm3

=====

A plane-wave DFT calculation with PBE-GGA was carried out for a geometry-optimized Mg2InBi structure.

The structure in extended XYZ format:
```
4
Lattice="4.913 0.000 0.000 0.000 4.913 0.000 0.000 0.000 4.252" Properties=species:S:1:pos:R:3 pbc="T T T"
Mg 0.000 2.456 0.000
Mg 2.456 0.000 0.000
In 0.000 0.000 2.126
Bi 2.456 2.456 2.126
```

Space-group type ... P4/mmm
DFT total energy ... -2.5453 eV per atom
ΔE_f ... -0.37 eV/f.u.
Total magnetization ... 0.0 Bohr magnetons per cell
Polymorph energy (0 for the lowest one) ... 9 meV per atom
Calculated density ... 6.0 g/cm3

=====

A plane-wave DFT calculation with PBE-GGA was carried out for a geometry-optimized ZnCoRh structure.

The structure in extended XYZ format:
```
3
Lattice="0.000 2.820 2.820 2.820 0.000 2.820 2.820 2.820 0.000" Properties=species:S:1:pos:R:3 pbc="T T T"
Zn 0.000 0.000 0.000
Co 4.230 4.230 4.230
Rh 2.820 2.820 2.820
```

Space-group type ... F-43m
DFT total energy ... -5.0527 eV per atom
ΔE_f ... 0.57 eV/f.u.
Total magnetization ... 2.1 Bohr magnetons per cell
Polymorph energy (0 for the lowest one) ... 293 meV per atom
Calculated density ... 8.4 g/cm3

=====

A plane-wave DFT calculation with PBE-GGA was carried out for a geometry-optimized TaH2Pb structure.

The structure in extended XYZ format:
```
4
Lattice="0.000 2.960 2.960 2.960 0.000 2.960 2.960 2.960 0.000" Properties=species:S:1:pos:R:3 pbc="T T T"
Ta 0.000 0.000 0.000
H 1.480 1.480 1.480
H 4.440 4.440 4.440
Pb 2.960 2.960 2.960
```

Space-group type ... Fm-3m
DFT total energy ... -4.4124 eV per atom
Total magnetization ... 0.0 Bohr magnetons per cell
Polymorph energy (0 for the lowest one) ... 877 meV per atom
Calculated density ... 12.5 g/cm3